Below is a PBEsol-optimized structure of TcAg4Te, with properties calculated at the meta-GGA SCAN level.

```
6
Lattice="-4.2353 -2.4742 2.2305 -2.8635 -3.5512 -2.8678 0.2612 -5.2512 1.1796" Properties=species:S:1:pos:R:3 pbc="T T T"
Ag -2.4373 -6.8497 0.7912
Ag -3.9936 -6.0029 -1.2249
Ag -4.6770 -5.4665 1.3146
Ag -2.5673 -4.2341 0.2036
Tc -5.1282 -8.4574 0.4067
Te 0.0000 0.0000 0.0000
```

Output
Formation energy without anion corrections   0.5621 eV per atom
E_tot   -32.401 eV per atom



Below is a PBEsol-optimized structure of LiIrCl2, with properties calculated at the meta-GGA SCAN level.

```
4
Lattice="3.3427 0.0000 0.0000 0.0000 3.3427 0.0000 -1.6713 -1.6713 6.8104" Properties=species:S:1:pos:R:3 pbc="T T T"
Cl 1.6713 0.0000 3.4052
Cl 0.0000 0.0000 0.0000
Ir 1.6713 1.6713 0.0000
Li 0.0000 1.6713 3.4052
```

Output
Energy above the most stable polymorph in this dataset   12.5 kJ/mol of atoms
Formation energy without anion corrections   -0.1609 eV per atom
E_tot   -22.522 eV per atom



Below is a PBEsol-optimized structure of TaCd2Si, with properties calculated at the meta-GGA SCAN level.

```
4
Lattice="2.9813 0.0000 0.0000 0.0000 5.0325 0.0000 -1.4907 -2.5162 4.8850" Properties=species:S:1:pos:R:3 pbc="T T T"
Si 1.4907 2.5162 0.1331
Cd 1.4907 2.5162 4.8361
Cd 1.4907 0.0000 2.5486
Ta 0.0000 2.5162 2.2522
```

Output
Formation energy without anion corrections   0.4165 eV per atom
E_tot   -33.940 eV per atom